Ac5HoSi4: relaxed, GGA-PBE.

Properties
- final energy (eV for the cell shown) = -100.599
- density of states at the Fermi level (states/eV per cell) = 14.41

Cell lengths 20.6316, 4.5093, 8.2176 Å; angles 90.00, 113.43, 90.00 degrees
Space group C2/m (No. 12)
Symmetry-distinct sites (fractional):
Ac  0.0000  0.0000  0.0000 (multiplicity 2)
Ac  0.1618  0.5000  0.4124 (multiplicity 4)
Ac  0.1616  0.5000  0.9120 (multiplicity 4)
Ho  0.0000  0.0000  0.5000 (multiplicity 2)
Si  0.0001  0.5000  0.2711 (multiplicity 4)
Si  0.1944  0.0000  0.6948 (multiplicity 4)

***

Nb2SnPt: relaxed, GGA-PBE.

Properties
- density of states at the Fermi level (states/eV per cell) = 9.77
- DFT formation energy (eV per atom) = 0.03

Cell lengths 7.5199, 7.5199, 5.6466 Å; angles 90.00, 90.00, 90.00 degrees
Space group I-42d (No. 122)
Symmetry-distinct sites (fractional):
Nb  0.2266  0.7500  0.1250 (multiplicity 8)
Sn  0.0000  0.0000  0.5000 (multiplicity 4)
Pt  0.0000  0.0000  0.0000 (multiplicity 4)

***

MnZn2: relaxed, GGA-PBE.

Properties
- density of states at the Fermi level (states/eV per cell) = 6.83
- DFT formation energy (eV per atom) = 0.39

Cell lengths 5.8914, 5.8914, 5.8914 Å; angles 90.00, 90.00, 90.00 degrees
Space group Fm-3m (No. 225)
Symmetry-distinct sites (fractional):
Mn  0.0000  0.0000  0.0000 (multiplicity 4)
Zn  0.2500  0.2500  0.2500 (multiplicity 8)